[1]
Density functional theory data (GGA-PBE) for crystalline Nd2GaCoH at its relaxed geometry.

M_tot, μB per cell: 0.0
Symmetry: P2_1/m (11)
VASP energy, eV/atom: -5.002

Cell lengths 6.1048, 4.2268, 7.8757 Å; angles 90.00, 104.64, 90.00 degrees
With the nearest neighbours (Å) after each atom.
Fractional coordinates of all 10 atoms:
Nd 0.2284 0.2500 0.4140  2 H 2.79, 3 Co 2.96-3.02, 3 Ga 3.09
Nd 0.2393 0.2500 0.9702  3 H 2.47-2.76
Nd 0.7607 0.7500 0.0298  3 H 2.47-2.76
Nd 0.7716 0.7500 0.5860  2 H 2.79, 3 Co 2.96-3.02, 3 Ga 3.09
Ga 0.3301 0.7500 0.7095  2 Co 2.49
Ga 0.6699 0.2500 0.2905  2 Co 2.49
Co 0.4462 0.7500 0.2356  1 H 1.63
Co 0.5538 0.2500 0.7644  1 H 1.63
H 0.1699 0.7500 0.1760  1 Co 1.63
H 0.8301 0.2500 0.8240  1 Co 1.63

[2]
Density functional theory data (GGA-PBE) for crystalline ReRh at its relaxed geometry.

Energy above the lowest structure with this stoichiometry, meV per atom: 1468
ΔE_f, eV/f.u.: 2.6
M_tot, μB per cell: 0.0
Symmetry: P6_3mc (186)
VASP energy, eV/atom: -8.609

Cell lengths 4.1236, 4.1236, 5.6437 Å; angles 90.00, 90.00, 120.00 degrees
With the nearest neighbours (Å) after each atom.
Fractional coordinates of all 4 atoms:
Re 0.3333 0.6667 0.0000  4 Rh 2.39-2.42
Re 0.6667 0.3333 0.5000  4 Rh 2.39-2.42
Rh 0.3333 0.6667 0.5763  4 Re 2.39-2.42
Rh 0.6667 0.3333 0.0763  4 Re 2.39-2.42

[3]
Density functional theory data (GGA-PBE) for crystalline PuNbPd at its relaxed geometry.

Energy above the lowest structure with this stoichiometry, meV per atom: 0
ΔE_f, eV/f.u.: -0.2
M_tot, μB per cell: 9.5
Symmetry: I4mm (107)
VASP energy, eV/atom: -9.948

Cell lengths 2.9388, 2.9388, 13.4119 Å; angles 90.00, 90.00, 90.00 degrees
With the nearest neighbours (Å) after each atom.
Fractional coordinates of all 6 atoms:
Pu 0.0000 0.0000 0.0000  4 Pu 2.94, 4 Pd 3.16, 4 Nb 3.18
Pu 0.5000 0.5000 0.5000  4 Pu 2.94, 4 Pd 3.16, 4 Nb 3.18
Nb 0.0000 0.0000 0.6798  4 Pd 2.83, 4 Nb 2.94
Nb 0.5000 0.5000 0.1798  4 Pd 2.83, 4 Nb 2.94
Pd 0.0000 0.0000 0.3226  4 Nb 2.83, 4 Pd 2.94, 4 Pu 3.16
Pd 0.5000 0.5000 0.8226  4 Nb 2.83, 4 Pd 2.94, 4 Pu 3.16

[4]
Density functional theory data (GGA-PBE) for crystalline SiOsPb2Br at its relaxed geometry.

Formation energy from raw total energies, eV/f.u.: 7.8
M_tot, μB per cell: 0.0
Symmetry: P4/mmm (123)
VASP energy, eV/atom: -3.594

Cell lengths 5.7802, 5.7802, 4.5098 Å; angles 90.00, 90.00, 90.00 degrees
With the nearest neighbours (Å) after each atom.
Fractional coordinates of all 5 atoms:
Si 0.0000 0.0000 0.0000  8 Pb 3.67, 4 Os 4.09
Os 0.5000 0.5000 0.0000  2 Br 2.25
Pb 0.0000 0.5000 0.5000  2 Br 2.89
Pb 0.5000 0.0000 0.5000  2 Br 2.89
Br 0.5000 0.5000 0.5000  2 Os 2.25

[5]
Density functional theory data (GGA-PBE) for crystalline CeTh4B3Rh12 at its relaxed geometry.

ΔE_f, eV/f.u.: -12.8
M_tot, μB per cell: 0.0
Symmetry: Im-3m (229)
VASP energy, eV/atom: -7.831

Cell lengths 7.6768, 7.6768, 7.6768 Å; angles 109.47, 109.47, 109.47 degrees
With the nearest neighbours (Å) after each atom.
Fractional coordinates of all 20 atoms:
Ce 0.0000 0.0000 0.0000  6 Rh 2.49
Th 0.0000 0.0000 0.5000  12 Rh 3.13-3.15
Th 0.0000 0.5000 0.0000  12 Rh 3.13-3.15
Th 0.5000 0.0000 0.0000  12 Rh 3.13-3.15
Th 0.5000 0.5000 0.5000  12 Rh 3.13-3.15
B 0.0000 0.5000 0.5000  2 Rh 1.94
B 0.5000 0.0000 0.5000  2 Rh 1.94
B 0.5000 0.5000 0.0000  2 Rh 1.94
Rh 0.0000 0.2807 0.2807  1 B 1.94
Rh 0.0000 0.7193 0.7193  1 B 1.94
Rh 0.2500 0.5000 0.7500  2 B 2.22
Rh 0.2500 0.7500 0.5000  2 B 2.22
Rh 0.2807 0.0000 0.2807  1 B 1.94
Rh 0.2807 0.2807 0.0000  1 B 1.94
Rh 0.5000 0.2500 0.7500  2 B 2.22
Rh 0.5000 0.7500 0.2500  2 B 2.22
Rh 0.7193 0.0000 0.7193  1 B 1.94
Rh 0.7193 0.7193 0.0000  1 B 1.94
Rh 0.7500 0.2500 0.5000  2 B 2.22
Rh 0.7500 0.5000 0.2500  2 B 2.22

[6]
Density functional theory data (GGA-PBE) for crystalline CdSbSe2N at its relaxed geometry.

Energy above the lowest structure with this stoichiometry, meV per atom: 0
Formation energy from raw total energies, eV/f.u.: 3.1
M_tot, μB per cell: 0.3
Symmetry: P4/mmm (123)
VASP energy, eV/atom: -3.439

Cell lengths 5.4217, 5.4217, 3.9375 Å; angles 90.00, 90.00, 90.00 degrees
With the nearest neighbours (Å) after each atom.
Fractional coordinates of all 5 atoms:
Cd 0.0000 0.0000 0.0000  8 Se 3.35
Sb 0.5000 0.5000 0.5000  2 N 1.97
Se 0.0000 0.5000 0.5000  2 Sb 2.71
Se 0.5000 0.0000 0.5000  2 Sb 2.71
N 0.5000 0.5000 0.0000  2 Sb 1.97

[7]
Density functional theory data (GGA-PBE) for crystalline Ca2NdZn9 at its relaxed geometry.

ΔE_f, eV/f.u.: -3.3
M_tot, μB per cell: 0.0
Symmetry: R-3m (166)
VASP energy, eV/atom: -1.959

Cell lengths 9.1947, 9.1947, 9.1947 Å; angles 35.01, 35.01, 35.01 degrees
With the nearest neighbours (Å) after each atom.
Fractional coordinates of all 12 atoms:
Ca 0.1425 0.1425 0.1425  12 Zn 3.18-3.25, 3 Ca 3.43
Ca 0.8575 0.8575 0.8575  12 Zn 3.18-3.25, 3 Ca 3.43
Nd 0.0000 0.0000 0.0000  18 Zn 3.19-3.48
Zn 0.0752 0.5852 0.5852  7 Zn 2.63-2.82
Zn 0.3352 0.3352 0.3352  6 Zn 2.63-2.67
Zn 0.4148 0.4148 0.9248  7 Zn 2.63-2.82
Zn 0.4148 0.9248 0.4148  7 Zn 2.63-2.82
Zn 0.5000 0.5000 0.5000  6 Zn 2.73
Zn 0.5852 0.0752 0.5852  7 Zn 2.63-2.82
Zn 0.5852 0.5852 0.0752  7 Zn 2.63-2.82
Zn 0.6648 0.6648 0.6648  6 Zn 2.63-2.67
Zn 0.9248 0.4148 0.4148  7 Zn 2.63-2.82

[8]
Density functional theory data (GGA-PBE) for crystalline CaPm3Y2 at its relaxed geometry.

ΔE_f, eV/f.u.: 1.1
M_tot, μB per cell: 0.0
Symmetry: P-3m1 (164)
VASP energy, eV/atom: -4.682

Cell lengths 6.7995, 6.7995, 10.7203 Å; angles 90.00, 90.00, 120.00 degrees
With the nearest neighbours (Å) after each atom.
Fractional coordinates of all 12 atoms:
Ca 0.3333 0.6667 0.4334  4 Y 3.96-3.99, 9 Pm 3.98, 3 Ca 4.18
Ca 0.6667 0.3333 0.5666  4 Y 3.96-3.99, 9 Pm 3.98, 3 Ca 4.18
Pm 0.1728 0.3457 0.7597  4 Pm 3.27-3.53, 2 Y 3.28-3.45
Pm 0.1728 0.8272 0.7597  4 Pm 3.27-3.53, 2 Y 3.28-3.45
Pm 0.3457 0.1728 0.2403  4 Pm 3.27-3.53, 2 Y 3.28-3.45
Pm 0.6543 0.8272 0.7597  4 Pm 3.27-3.53, 2 Y 3.28-3.45
Pm 0.8272 0.1728 0.2403  4 Pm 3.27-3.53, 2 Y 3.28-3.45
Pm 0.8272 0.6543 0.2403  4 Pm 3.27-3.53, 2 Y 3.28-3.45
Y 0.0000 0.0000 0.0000  6 Pm 3.28
Y 0.0000 0.0000 0.5000  6 Pm 3.45
Y 0.3333 0.6667 0.0639  9 Pm 3.77-3.89, 1 Ca 3.96, 6 Y 3.98-4.16
Y 0.6667 0.3333 0.9361  9 Pm 3.77-3.89, 1 Ca 3.96, 6 Y 3.98-4.16

[9]
Density functional theory data (GGA-PBE) for crystalline CeNdHoLu at its relaxed geometry.

ΔE_f, eV/f.u.: 0.6
M_tot, μB per cell: 2.5
Symmetry: F-43m (216)
VASP energy, eV/atom: -4.805

Cell lengths 7.9955, 7.9955, 7.9955 Å; angles 90.00, 90.00, 90.00 degrees
With the nearest neighbours (Å) after each atom.
Fractional coordinates of all 16 atoms:
Ce 0.0000 0.0000 0.0000  4 Ho 3.46, 4 Lu 3.46
Ce 0.0000 0.5000 0.5000  4 Ho 3.46, 4 Lu 3.46
Ce 0.5000 0.0000 0.5000  4 Ho 3.46, 4 Lu 3.46
Ce 0.5000 0.5000 0.0000  4 Ho 3.46, 4 Lu 3.46
Nd 0.0000 0.0000 0.5000  4 Lu 3.46, 4 Ho 3.46
Nd 0.0000 0.5000 0.0000  4 Lu 3.46, 4 Ho 3.46
Nd 0.5000 0.0000 0.0000  4 Lu 3.46, 4 Ho 3.46
Nd 0.5000 0.5000 0.5000  4 Lu 3.46, 4 Ho 3.46
Ho 0.2500 0.2500 0.2500  4 Nd 3.46, 4 Ce 3.46
Ho 0.2500 0.7500 0.7500  4 Nd 3.46, 4 Ce 3.46
Ho 0.7500 0.2500 0.7500  4 Nd 3.46, 4 Ce 3.46
Ho 0.7500 0.7500 0.2500  4 Nd 3.46, 4 Ce 3.46
Lu 0.2500 0.2500 0.7500  4 Ce 3.46, 4 Nd 3.46
Lu 0.2500 0.7500 0.2500  4 Ce 3.46, 4 Nd 3.46
Lu 0.7500 0.2500 0.2500  4 Ce 3.46, 4 Nd 3.46
Lu 0.7500 0.7500 0.7500  4 Ce 3.46, 4 Nd 3.46

[10]
Density functional theory data (GGA-PBE) for crystalline Ba4SbO2 at its relaxed geometry.

Formation energy from raw total energies, eV/f.u.: -11.8
M_tot, μB per cell: 1.6
Symmetry: C2 (5)
VASP energy, eV/atom: -4.787

Cell lengths 8.8231, 8.8231, 8.3849 Å; angles 118.26, 118.26, 77.04 degrees
With the nearest neighbours (Å) after each atom.
Fractional coordinates of all 14 atoms:
Ba 0.0471 0.0471 0.3075  2 O 2.61-2.63
Ba 0.3392 0.5654 0.7139  2 O 2.61-2.62
Ba 0.4346 0.6608 0.2861  2 O 2.61-2.62
Ba 0.4534 0.1606 0.2963  2 O 2.61-2.62
Ba 0.5472 0.0646 0.8177  2 O 2.60-2.62
Ba 0.8394 0.5466 0.7037  2 O 2.61-2.62
Ba 0.9354 0.4528 0.1823  2 O 2.60-2.62
Ba 0.9529 0.9529 0.6925  2 O 2.61-2.63
Sb 0.1942 0.3063 0.8753  8 Ba 3.46-3.84
Sb 0.6937 0.8058 0.1247  8 Ba 3.46-3.84
O 0.0071 0.6195 0.5622  4 Ba 2.60-2.63
O 0.3805 0.9929 0.4378  4 Ba 2.60-2.63
O 0.5061 0.4939 0.5000  4 Ba 2.61-2.62
O 0.8796 0.1204 0.0000  4 Ba 2.61-2.62

[11]
Density functional theory data (GGA-PBE) for crystalline Th3Si2S at its relaxed geometry.

Formation energy from raw total energies, eV/f.u.: -6.5
M_tot, μB per cell: 0.0
Symmetry: Immm (71)
VASP energy, eV/atom: -7.287

Cell lengths 4.2212, 5.9246, 12.5930 Å; angles 90.00, 90.00, 90.00 degrees
With the nearest neighbours (Å) after each atom.
Fractional coordinates of all 12 atoms:
Th 0.0000 0.0000 0.0000  2 S 2.96, 4 Si 2.98
Th 0.0000 0.0000 0.3329  4 Si 2.96-2.97, 2 S 2.98
Th 0.0000 0.0000 0.6671  4 Si 2.96-2.97, 2 S 2.98
Th 0.5000 0.5000 0.1671  4 Si 2.96-2.97, 2 S 2.98
Th 0.5000 0.5000 0.5000  2 S 2.96, 4 Si 2.98
Th 0.5000 0.5000 0.8329  4 Si 2.96-2.97, 2 S 2.98
Si 0.0000 0.5000 0.3335  6 Th 2.96-2.98
Si 0.0000 0.5000 0.6665  6 Th 2.96-2.98
Si 0.5000 0.0000 0.1665  6 Th 2.96-2.98
Si 0.5000 0.0000 0.8335  6 Th 2.96-2.98
S 0.0000 0.5000 0.0000  6 Th 2.96-2.98
S 0.5000 0.0000 0.5000  6 Th 2.96-2.98

[12]
Density functional theory data (GGA-PBE) for crystalline YPtS2 at its relaxed geometry.

Energy above the lowest structure with this stoichiometry, meV per atom: 194
Formation energy from raw total energies, eV/f.u.: -3.1
M_tot, μB per cell: 0.0
Symmetry: Fm-3m (225)
VASP energy, eV/atom: -5.975

Cell lengths 6.6030, 6.6030, 6.6030 Å; angles 90.00, 90.00, 90.00 degrees
With the nearest neighbours (Å) after each atom.
Fractional coordinates of all 16 atoms:
Y 0.0000 0.0000 0.0000  8 S 2.86
Y 0.0000 0.5000 0.5000  8 S 2.86
Y 0.5000 0.0000 0.5000  8 S 2.86
Y 0.5000 0.5000 0.0000  8 S 2.86
Pt 0.0000 0.0000 0.5000  8 S 2.86
Pt 0.0000 0.5000 0.0000  8 S 2.86
Pt 0.5000 0.0000 0.0000  8 S 2.86
Pt 0.5000 0.5000 0.5000  8 S 2.86
S 0.2500 0.2500 0.2500  4 Pt 2.86, 4 Y 2.86
S 0.2500 0.2500 0.7500  4 Pt 2.86, 4 Y 2.86
S 0.2500 0.7500 0.2500  4 Pt 2.86, 4 Y 2.86
S 0.2500 0.7500 0.7500  4 Pt 2.86, 4 Y 2.86
S 0.7500 0.2500 0.2500  4 Pt 2.86, 4 Y 2.86
S 0.7500 0.2500 0.7500  4 Pt 2.86, 4 Y 2.86
S 0.7500 0.7500 0.2500  4 Pt 2.86, 4 Y 2.86
S 0.7500 0.7500 0.7500  4 Y 2.86, 4 Pt 2.86